(1)
## V2ZnReMo (PBE)

Data for an optimized crystal structure of V2ZnReMo.

a b c (Å): 4.294 4.581 4.294
angles (deg): 90.00 90.00 90.00
Element x y z (fractional)
V  0.000  0.000  0.500
Re  0.500  0.500  0.500
V  0.500  0.000  0.000
Zn  0.000  0.000  0.000
Mo  0.000  0.500  0.000

Summary:
ΔE_f: 1.6520 eV/atom
DOS at the Fermi energy: 9.1 states/eV per cell
DFT total energy: -6.9061 eV/atom
space group: P4/mmm, No. 123

(2)
## Ac2Al3Zn6 (PBE)

Data for an optimized crystal structure of Ac2Al3Zn6.

a b c (Å): 4.140 7.595 7.595
angles (deg): 95.97 90.00 90.00
Element x y z (fractional)
Zn  0.500  0.942  0.644
Ac  0.000  0.718  0.282
Zn  0.500  0.615  0.615
Ac  0.000  0.282  0.718
Al  0.000  0.796  0.796
Zn  0.500  0.356  0.058
Al  0.000  0.204  0.204
Zn  0.500  0.058  0.356
Zn  0.500  0.644  0.942
Zn  0.500  0.385  0.385
Al  0.500  0.000  0.000

Summary:
ΔE_f: -0.2338 eV/atom
DOS at the Fermi energy: 5.4 states/eV per cell
DFT total energy: -2.6964 eV/atom
space group: Cmmm, No. 65

(3)
## MnAg (PBE)

Data for an optimized crystal structure of MnAg.

a b c (Å): 4.503 4.503 8.030
angles (deg): 90.00 90.00 120.00
Last column: magnetic moment on the atom in μB.
Element x y z (fractional)
Mn  0.333  0.667  0.750  3.78
Ag  0.667  0.333  0.920  0.05
Ag  0.333  0.667  0.420  0.05
Ag  0.667  0.333  0.580  0.05
Mn  0.667  0.333  0.250  3.78
Ag  0.333  0.667  0.080  0.05
Mn  0.000  0.000  0.750  3.89
Mn  0.000  0.000  0.250  3.89

Summary:
ΔE_f: 0.5653 eV/atom
DOS at the Fermi energy: 6.4 states/eV per cell
DFT total energy: -5.4451 eV/atom
space group: P6_3/mmc, No. 194

(4)
## BaHoTlI6 (PBE)

Data for an optimized crystal structure of BaHoTlI6.

a b c (Å): 8.457 8.457 14.696
angles (deg): 90.00 90.00 120.00
Element x y z (fractional)
I  0.961  0.622  0.371
I  0.338  0.378  0.871
I  0.622  0.961  0.871
I  0.039  0.378  0.629
Ba  0.333  0.667  0.250
I  0.961  0.338  0.129
I  0.662  0.622  0.129
I  0.662  0.039  0.371
Ho  0.333  0.667  0.750
I  0.338  0.961  0.629
Ba  0.667  0.333  0.750
I  0.039  0.662  0.871
Tl  0.000  0.000  0.500
I  0.378  0.338  0.371
I  0.622  0.662  0.629
Tl  0.000  0.000  0.000
Ho  0.667  0.333  0.250
I  0.378  0.039  0.129

Summary:
DOS at the Fermi energy: 0.0 states/eV per cell
DFT total energy: -3.3653 eV/atom
uncorrected formation energy: -1347 meV/atom
space group: P-31c, No. 163

(5)
## Ti2NbZn2Cu2 (PBE)

Data for an optimized crystal structure of Ti2NbZn2Cu2.

a b c (Å): 4.067 4.939 5.700
angles (deg): 92.68 90.00 114.32
Last column: magnetic moment on the atom in μB.
Element x y z (fractional)
Ti  0.406  0.812  0.283  0.20
Zn  0.297  0.593  0.823  0.00
Cu  0.132  0.263  0.440  0.01
Ti  0.594  0.188  0.717  0.20
Nb  0.000  0.000  0.000  0.00
Cu  0.868  0.737  0.560  0.01
Zn  0.703  0.407  0.177  0.00

Summary:
ΔE_f: -0.0803 eV/atom
DOS at the Fermi energy: 6.0 states/eV per cell
DFT total energy: -5.3088 eV/atom
space group: C2/m, No. 12

(6)
## CrNi3H (PBE)

Data for an optimized crystal structure of CrNi3H.

a b c (Å): 4.172 4.448 5.042
angles (deg): 90.00 90.00 89.71
Last column: magnetic moment on the atom in μB.
Element x y z (fractional)
Ni  0.756  0.834  0.501  0.07
Cr  0.760  0.352  0.750  1.83
H  0.491  0.992  0.750  -0.01
Ni  0.244  0.166  0.001  0.07
Cr  0.240  0.648  0.250  1.83
Ni  0.249  0.657  0.750  0.00
Ni  0.751  0.343  0.250  0.00
H  0.509  0.008  0.250  -0.01
Ni  0.756  0.834  0.999  0.07
Ni  0.244  0.166  0.499  0.07

Summary:
DOS at the Fermi energy: 13.2 states/eV per cell
DFT total energy: -6.0535 eV/atom
space group: P2_1/m, No. 11

(7)
## AsRh2F (PBE)

Data for an optimized crystal structure of AsRh2F.

a b c (Å): 6.365 6.365 5.377
angles (deg): 53.71 53.71 90.00
Element x y z (fractional)
As  0.000  0.000  0.000
Rh  0.628  0.125  0.250
F  0.500  0.500  0.000
Rh  0.375  0.372  0.750
Rh  0.875  0.878  0.750
Rh  0.122  0.625  0.250
As  0.750  0.250  0.500
F  0.250  0.750  0.500

Summary:
DOS at the Fermi energy: 2.6 states/eV per cell
DFT total energy: -5.5935 eV/atom
uncorrected formation energy: -288 meV/atom
space group: I-42d, No. 122

(8)
## HfBi3S (PBE)

Data for an optimized crystal structure of HfBi3S.

a b c (Å): 5.300 5.300 5.300
angles (deg): 90.00 90.00 90.00
Element x y z (fractional)
S  0.000  0.000  0.000
Hf  0.500  0.500  0.500
Bi  0.000  0.500  0.000
Bi  0.000  0.000  0.500
Bi  0.500  0.000  0.000

Summary:
DOS at the Fermi energy: 4.5 states/eV per cell
DFT total energy: -4.5536 eV/atom
uncorrected formation energy: 591 meV/atom
space group: Pm-3m, No. 221

(9)
## Ba2Ge3Pd9 (PBE)

Data for an optimized crystal structure of Ba2Ge3Pd9.

a b c (Å): 8.027 8.027 10.607
angles (deg): 90.93 109.55 122.44
Element x y z (fractional)
Ba  0.023  0.418  0.257
Pd  0.539  0.084  0.251
Pd  0.793  0.493  0.416
Pd  0.880  0.130  0.750
Pd  0.490  0.823  0.496
Ba  0.977  0.582  0.743
Pd  0.827  0.994  0.004
Pd  0.875  0.853  0.562
Ba  0.339  0.234  0.757
Pd  0.577  0.376  0.084
Ge  0.831  0.164  0.498
Pd  0.208  0.687  0.062
Ge  0.500  0.500  0.500
Pd  0.173  0.006  0.996
Pd  0.423  0.624  0.916
Pd  0.792  0.313  0.938
Pd  0.334  0.288  0.249
Pd  0.125  0.147  0.438
Pd  0.120  0.870  0.250
Pd  0.666  0.712  0.751
Ge  0.834  0.667  0.998
Pd  0.461  0.916  0.749
Ge  0.166  0.333  0.002
Ge  0.169  0.836  0.502
Pd  0.510  0.177  0.504
Ge  0.500  0.000  0.000
Pd  0.207  0.507  0.584
Ba  0.661  0.766  0.243

Summary:
ΔE_f: -0.5137 eV/atom
DOS at the Fermi energy: 11.2 states/eV per cell
DFT total energy: -5.1160 eV/atom
space group: C2/c, No. 15

(10)
## Ba3Bi5Sb2 (PBE)

Data for an optimized crystal structure of Ba3Bi5Sb2.

a b c (Å): 7.347 11.187 11.187
angles (deg): 74.05 70.83 70.83
Element x y z (fractional)
Bi  0.961  0.789  0.789
Ba  0.355  0.431  0.859
Bi  0.250  0.500  0.500
Bi  0.647  0.258  0.447
Sb  0.126  0.700  0.048
Sb  0.874  0.300  0.952
Bi  0.461  0.789  0.789
Bi  0.039  0.211  0.211
Ba  0.855  0.859  0.431
Ba  0.145  0.141  0.569
Ba  0.750  0.000  0.000
Bi  0.750  0.500  0.500
Sb  0.626  0.048  0.700
Ba  0.645  0.569  0.141
Bi  0.353  0.742  0.553
Sb  0.374  0.952  0.300
Bi  0.539  0.211  0.211
Bi  0.147  0.447  0.258
Ba  0.250  0.000  0.000
Bi  0.853  0.553  0.742

Summary:
DOS at the Fermi energy: 13.6 states/eV per cell
DFT total energy: -3.7477 eV/atom
uncorrected formation energy: -406 meV/atom
space group: Ibam, No. 72

(11)
## SrLiCo2 (PBE)

Data for an optimized crystal structure of SrLiCo2.

a b c (Å): 3.834 4.015 4.518
angles (deg): 90.00 90.00 90.00
Last column: magnetic moment on the atom in μB.
Element x y z (fractional)
Li  0.500  0.000  0.500  -0.05
Co  0.000  0.000  0.000  1.48
Sr  0.000  0.500  0.500  -0.11
Co  0.500  0.500  0.000  1.44

Summary:
ΔE_f: 0.6505 eV/atom
DOS at the Fermi energy: 4.0 states/eV per cell
DFT total energy: -3.8013 eV/atom
space group: Pmmm, No. 47

(12)
## Np2IrRh9 (PBE)

Data for an optimized crystal structure of Np2IrRh9.

a b c (Å): 3.961 3.961 11.964
angles (deg): 90.00 90.00 90.00
Last column: magnetic moment on the atom in μB.
Element x y z (fractional)
Rh  0.500  0.500  0.328  -0.33
Rh  0.500  0.000  0.500  -0.34
Rh  0.000  0.500  0.157  -0.22
Rh  0.500  0.000  0.843  -0.22
Rh  0.500  0.000  0.157  -0.22
Rh  0.000  0.500  0.843  -0.22
Rh  0.500  0.500  0.672  -0.33
Np  0.000  0.000  0.330  2.58
Ir  0.000  0.000  0.000  -0.02
Rh  0.500  0.500  0.000  -0.11
Np  0.000  0.000  0.670  2.58
Rh  0.000  0.500  0.500  -0.34

Summary:
ΔE_f: -0.2241 eV/atom
DOS at the Fermi energy: 26.2 states/eV per cell
DFT total energy: -8.6329 eV/atom
space group: P4/mmm, No. 123